1.
# Na2AlIrSe4

Na2AlIrSe4 after structural relaxation (PBE, OQMD).

extended XYZ file:
```
8
Lattice="-3.275 -1.189 5.268 -0.560 6.203 -1.053 -2.222 -3.350 -4.872" Properties=species:S:1:pos:R:3 pbc="T T T"
Al 0.000 0.000 0.000
Se -5.370 -2.173 -0.061
Se -1.946 5.481 0.786
Se -0.987 -0.982 -1.972
Se -3.813 1.001 -0.068
Ir -3.708 -1.016 1.252
Na -1.918 2.507 2.107
Na -2.350 2.680 -1.909
```

---

2.
# HoZnCo

HoZnCo after structural relaxation (PBE, OQMD).

extended XYZ file:
```
3
Lattice="1.906 -3.833 0.740 1.908 -0.774 3.825 -1.786 -2.811 2.789" Properties=species:S:1:pos:R:3 pbc="T T T"
Co 0.507 -1.854 1.838
Ho 1.521 -5.563 5.515
Zn 0.000 0.000 0.000
```

Calculated values
* E_form: 0.211 eV/atom

---

3.
# SrMgNiGe2

SrMgNiGe2 after structural relaxation (PBE, OQMD).

extended XYZ file:
```
5
Lattice="3.915 -2.467 4.208 -0.199 1.585 6.047 -3.831 -1.799 -4.605" Properties=species:S:1:pos:R:3 pbc="T T T"
Ge 1.409 -2.457 3.574
Ge 0.533 -2.249 1.156
Sr -1.086 -0.327 3.285
Ni 1.858 -0.441 5.127
Mg 0.000 0.000 0.000
```

---

no.,E (eV per atom)
1,-4.235
2,-4.105
3,-4.024